Record 1
! PBE MnNbP2, relaxed; values from VASP
&SYSTEM
  ibrav = 0, nat = 4, ntyp = 3
/
ATOMIC_SPECIES
P 30.97 P.upf
Nb 92.91 Nb.upf
Mn 54.94 Mn.upf
ATOMIC_POSITIONS angstrom
P 0.1895 -2.5829 -0.3511
P 0.5684 -7.7488 -1.0534
Nb 0.3790 -5.1658 -0.7023
Mn 0.0000 0.0000 0.0000
CELL_PARAMETERS angstrom
2.1954 -3.1007 -1.9445
0.5847 -3.7489 1.9543
-2.0222 -3.4822 -1.4143
! * N(E_F): 0.4185 states/eV per atom
! * E: -0.28860 Ha/atom
! * magnetic moment: 2.1 μB/cell
! * calculated formation energy: -0.34 eV/atom



Record 2
! PBE MnNbP2, relaxed; values from VASP
&SYSTEM
  ibrav = 0, nat = 4, ntyp = 3
/
ATOMIC_SPECIES
P 30.97 P.upf
Nb 92.91 Nb.upf
Mn 54.94 Mn.upf
ATOMIC_POSITIONS angstrom
P 1.7916 1.0344 0.9924
P 5.3749 3.1032 4.0109
Nb 3.5832 2.0688 2.5017
Mn 0.0000 0.0000 0.0000
CELL_PARAMETERS angstrom
3.5832 0.0000 0.0000
1.7916 3.1032 0.0000
1.7916 1.0344 5.0034
! * N(E_F): 0.5018 states/eV per atom
! * E: -0.29043 Ha/atom
! * magnetic moment: 0.0 μB/cell
! * calculated formation energy: -0.39 eV/atom



Record 3
! PBE MnNb2P, relaxed; values from VASP
&SYSTEM
  ibrav = 0, nat = 8, ntyp = 3
/
ATOMIC_SPECIES
P 30.97 P.upf
Nb 92.91 Nb.upf
Mn 54.94 Mn.upf
ATOMIC_POSITIONS angstrom
P 1.9046 1.9046 0.0000
P 1.9046 3.8092 4.4875
Nb 2.8232 0.9523 2.2437
Nb 0.9860 2.8569 2.2437
Nb 2.8569 2.8906 6.7312
Nb 4.7616 4.7279 6.7312
Mn 0.0000 0.0000 0.0000
Mn 3.8092 1.9046 4.4875
CELL_PARAMETERS angstrom
3.8092 0.0000 0.0000
0.0000 3.8092 0.0000
1.9046 1.9046 8.9750
! * N(E_F): 1.9369 states/eV per atom
! * E: -0.30465 Ha/atom
! * magnetic moment: 0.0 μB/cell
! * calculated formation energy: 0.39 eV/atom



Record 4
! PBE Mn3NbP, relaxed; values from VASP
&SYSTEM
  ibrav = 0, nat = 5, ntyp = 3
/
ATOMIC_SPECIES
P 30.97 P.upf
Nb 92.91 Nb.upf
Mn 54.94 Mn.upf
ATOMIC_POSITIONS angstrom
P 0.0000 0.0000 0.0000
Nb 2.0471 2.0471 2.0471
Mn 0.0000 2.0471 0.0000
Mn 0.0000 0.0000 2.0471
Mn 2.0471 0.0000 0.0000
CELL_PARAMETERS angstrom
4.0943 0.0000 0.0000
0.0000 4.0943 0.0000
0.0000 0.0000 4.0943
! * N(E_F): 0.6177 states/eV per atom
! * E: -0.30769 Ha/atom
! * magnetic moment: 0.0 μB/cell
! * calculated formation energy: 0.23 eV/atom



Record 5
! PBE Mn2NbP12, relaxed; values from VASP
&SYSTEM
  ibrav = 0, nat = 30, ntyp = 3
/
ATOMIC_SPECIES
Mn 54.94 Mn.upf
Nb 92.91 Nb.upf
P 30.97 P.upf
ATOMIC_POSITIONS angstrom
Mn 11.7086 6.1175 4.3737
Mn 4.4094 3.4939 0.4404
Mn 7.7995 0.8943 5.2556
Mn 15.0987 3.5179 9.1889
Nb 8.2823 4.1843 2.4070
Nb 11.2258 2.8275 7.2222
P 11.7030 5.2995 0.7139
P 4.9344 2.8667 4.1001
P 7.8051 1.7123 8.9153
P 14.5736 4.1451 5.5292
P 7.6356 1.8457 1.5931
P 10.2699 2.7925 3.2210
P 13.8790 2.9934 7.3008
P 9.0740 1.2663 7.1437
P 5.6291 4.0184 2.3285
P 10.4340 5.7454 2.4856
P 10.2282 6.4519 8.9345
P 9.6876 6.2576 5.5100
P 9.2798 0.5599 0.6948
P 9.8204 0.7542 4.1192
P 7.9000 3.1458 4.8590
P 13.5878 5.1901 9.5855
P 11.6080 3.8660 4.7702
P 5.9202 1.8216 0.0438
P 16.4315 4.8425 8.0475
P 5.9284 1.0674 6.3970
P 3.0766 2.1693 1.5818
P 13.5797 5.9444 3.2323
P 9.2382 4.2193 6.4083
P 11.8725 5.1661 8.0362
CELL_PARAMETERS angstrom
8.5590 -0.0018 -0.0006
6.5995 5.4502 -0.0006
4.3496 1.5634 9.6304
! * N(E_F): 0.3374 states/eV per atom
! * E: -0.24264 Ha/atom
! * magnetic moment: 1.6 μB/cell
! * calculated formation energy: -0.38 eV/atom



Record 6
! PBE MnNbP, relaxed; values from VASP
&SYSTEM
  ibrav = 0, nat = 18, ntyp = 3
/
ATOMIC_SPECIES
Mn 54.94 Mn.upf
Nb 92.91 Nb.upf
P 30.97 P.upf
ATOMIC_POSITIONS angstrom
Mn 3.8370 -3.9047 3.2895
Mn 0.8182 -4.1009 6.0979
Mn -2.8897 -5.5278 7.6569
Mn -3.5826 -3.6149 4.0107
Mn 0.1252 -2.1880 2.4517
Mn -6.6015 -3.8111 6.8191
Nb -0.7731 -4.5257 3.7933
Nb -0.2472 -4.8657 8.6132
Nb -2.5172 -2.8501 1.4954
Nb 1.6929 -4.3839 1.5398
Nb -1.9914 -3.1901 6.3153
Nb -4.4574 -3.3319 8.5689
P -2.5211 -4.5759 9.7697
P -4.3263 -4.3304 6.1648
P -0.9265 -5.5725 6.2082
P -0.2434 -3.1398 0.3389
P -1.8380 -2.1433 3.9004
P 1.5619 -3.3854 3.9439
CELL_PARAMETERS angstrom
-1.1012 -3.0632 -1.3978
4.6845 -3.0106 2.9071
-6.3478 -1.6420 8.5993
! * N(E_F): 0.5605 states/eV per atom
! * E: -0.33163 Ha/atom
! * magnetic moment: 3.9 μB/cell
! * calculated formation energy: -0.81 eV/atom



Record 7
! PBE Mn21Nb2P6, relaxed; values from VASP
&SYSTEM
  ibrav = 0, nat = 29, ntyp = 3
/
ATOMIC_SPECIES
Mn 54.94 Mn.upf
Nb 92.91 Nb.upf
P 30.97 P.upf
ATOMIC_POSITIONS angstrom
Mn 0.0000 0.0000 0.0000
Mn 5.6438 3.9908 5.9817
Mn 5.6438 3.9908 9.7754
Mn 4.5487 0.8932 7.8786
Mn 2.3584 3.9908 7.8786
Mn 3.4535 2.4420 9.7754
Mn 3.4535 2.4420 5.9817
Mn 4.5487 5.5396 7.8786
Mn 6.7390 2.4420 7.8786
Mn 4.4071 0.0000 5.3341
Mn 1.4690 4.1551 5.3341
Mn 0.0000 0.0000 2.7897
Mn 1.4690 4.1551 2.5444
Mn 4.4071 0.0000 2.5445
Mn 0.0000 0.0000 5.0889
Mn 0.8053 2.2778 1.3948
Mn 0.8053 2.2778 6.4837
Mn 5.2124 2.2778 3.9393
Mn 2.4159 0.0000 6.4837
Mn 2.4159 0.0000 1.3948
Mn 3.8849 4.1551 3.9393
Nb 6.8230 4.8246 11.8178
Nb 2.2743 1.6082 3.9393
P 3.4996 4.7001 6.0614
P 5.5978 1.7327 6.0614
P 6.6469 4.7001 7.8786
P 5.5978 1.7327 9.6957
P 3.4996 4.7001 9.6957
P 2.4504 1.7327 7.8786
CELL_PARAMETERS angstrom
6.8230 0.0000 3.9393
2.2743 6.4328 3.9393
0.0000 0.0000 7.8786
! * N(E_F): 1.0757 states/eV per atom
! * E: -0.32144 Ha/atom
! * magnetic moment: 20.9 μB/cell
! * calculated formation energy: -0.29 eV/atom



Record 8
! PBE MnNbP2, relaxed; values from VASP
&SYSTEM
  ibrav = 0, nat = 8, ntyp = 3
/
ATOMIC_SPECIES
P 30.97 P.upf
Nb 92.91 Nb.upf
Mn 54.94 Mn.upf
ATOMIC_POSITIONS angstrom
P -2.1426 2.6099 2.9682
P 0.2393 0.1471 4.5874
P -0.1681 3.5617 6.2271
P -1.9738 3.9878 9.5314
Nb 0.0000 0.0000 0.0000
Nb -2.2664 3.8515 5.0472
Mn -1.7840 0.3607 3.4542
Mn 0.2438 1.3017 6.6099
CELL_PARAMETERS angstrom
-4.2942 2.9105 1.8915
0.7261 -2.1891 5.0169
1.5455 4.4318 4.7487
! * N(E_F): 0.7128 states/eV per atom
! * E: -0.27828 Ha/atom
! * magnetic moment: 7.8 μB/cell
! * calculated formation energy: -0.06 eV/atom